The following is a PBE calculation of a geometry-optimized La2CuPd2 structure, from the Alexandria database.

Lattice parameters (Å, degrees): 7.6969 7.6969 4.0021 90.00 90.00 90.00
Fractional coordinates of all 10 atoms:
La (0.1754, 0.3246, 0.0000)
La (0.3246, 0.8246, 0.0000)
La (0.6754, 0.1754, 0.0000)
La (0.8246, 0.6754, 0.0000)
Cu (0.0000, 0.0000, 0.5000)
Cu (0.5000, 0.5000, 0.5000)
Pd (0.1314, 0.6314, 0.5000)
Pd (0.3686, 0.1314, 0.5000)
Pd (0.6314, 0.8686, 0.5000)
Pd (0.8686, 0.3686, 0.5000)

Output
SG: No. 127
Mass density in Mg/m³: 7.76
Crystal system: tetragonal
ΔE to the lowest computed polymorph in eV/f.u.: 0.25
E in eV per atom: -5.463
ΔE_f in eV/f.u.: -3.0